# 1
The following is a DFT calculation (PBE) of a relaxed structure of TbAgSnTe2S.

Cell: 4.328 14.462 10.379 Å, 90.00 90.00 90.00°
Space group Cmcm (No. 63)
Symmetry-distinct sites (fractional):
1 Tb 0.000 0.000 0.000 [4 per cell]
2 Ag 0.000 0.482 0.250 [4 per cell]
3 Sn 0.000 0.273 0.750 [4 per cell]
4 Te 0.000 0.349 0.056 [8 per cell]
5 S 0.000 0.081 0.250 [4 per cell]

Computed properties:
Total magnetization = 0.01 μB/f.u.
Total energy = -4.400 eV/atom

# 2
The following is a DFT calculation (PBE) of a relaxed structure of Cs2NaHoCl6.

Cell: 7.569 7.569 10.794 Å, 90.00 90.00 90.00°
Space group I4/m (No. 87)
Symmetry-distinct sites (fractional):
1 Cs 0.000 0.500 0.250 [4 per cell]
2 Na 0.000 0.000 0.000 [2 per cell]
3 Ho 0.000 0.000 0.500 [2 per cell]
4 Cl 0.000 0.000 0.257 [4 per cell]
5 Cl 0.219 0.268 0.500 [8 per cell]

Computed properties:
Total magnetization = 0.00 μB/f.u.
Total energy = -4.010 eV/atom

# 3
The following is a DFT calculation (PBE) of a relaxed structure of NaInPd.

Cell: 6.541 6.541 6.541 Å, 90.00 90.00 90.00°
Space group F-43m (No. 216)
Symmetry-distinct sites (fractional):
1 Na 0.000 0.000 0.000 [4 per cell]
2 In 0.000 0.000 0.500 [4 per cell]
3 Pd 0.250 0.250 0.750 [4 per cell]

Computed properties:
Total energy = -3.286 eV/atom